{
  "formula": "Hf8Sb2N3",
  "functional": "PBE",
  "state": "relaxed",
  "space_group": "C2/m (12)",
  "crystal_system": "monoclinic",
  "raw_formation_energy_ev_per_fu": -9.72,
  "lattice_angstrom": [[-5.5581, 1.3186, 0.1385], [-0.6719, -3.4030, 5.4344], [3.6049, 6.9165, 0.9526]],
  "species": ["Hf", "Hf", "Hf", "Hf", "Hf", "Hf", "Hf", "Hf", "N", "N", "N", "Sb", "Sb"],
  "frac_coords": [[0.3950, 0.8342, 0.1757], [0.6050, 0.1658, 0.8243], [0.0737, 0.4072, 0.8143], [0.1198, 0.9153, 0.8306], [0.9263, 0.5928, 0.1857], [0.8802, 0.0847, 0.1694], [0.6050, 0.6585, 0.8243], [0.3950, 0.3415, 0.1757], [0.0000, 0.7616, 0.0000], [0.0000, 0.2384, 0.0000], [0.5000, 0.0000, 0.0000], [0.6996, 0.7528, 0.5055], [0.3004, 0.2472, 0.4945]]
}